Computed, not measured: an optimized crystal structure of HfBiBr3 at the GGA-PBE level of DFT.

Results
Space-group type: No. 221
Fermi-level density of states, states/eV/cell: 9.71
Energy relative to the elements, uncorrected, meV per atom: 566
Polymorph energy (0 for the lowest one), eV/atom: 0.818
Calculated volume, Å³/f.u.: 197.7

Cell: 5.825 5.825 5.825 Å, 90.00 90.00 90.00°
Each line ends with the local moment (μB).
Fractional coordinates of all 5 atoms:
Bi (0.000, 0.000, 0.000)  0.03
Br (0.500, 0.000, 0.000)  0.00
Br (0.000, 0.000, 0.500)  0.01
Hf (0.500, 0.500, 0.500)  0.98
Br (0.000, 0.500, 0.000)  0.01



Computed, not measured: an optimized crystal structure of HfBiBr3 at the GGA-PBE level of DFT.

Results
Space-group type: No. 221
Fermi-level density of states, states/eV/cell: 3.29
Energy relative to the elements, uncorrected, meV per atom: -252
Polymorph energy (0 for the lowest one), eV/atom: 0.000
Calculated volume, Å³/f.u.: 154.9

Cell: 5.370 5.370 5.370 Å, 90.00 90.00 90.00°
Each line ends with the local moment (μB).
Fractional coordinates of all 5 atoms:
Br (0.000, 0.000, 0.500)  0.08
Bi (0.500, 0.500, 0.500)  1.59
Hf (0.000, 0.000, 0.000)  0.02
Br (0.500, 0.000, 0.000)  0.05
Br (0.000, 0.500, 0.000)  0.03



Computed, not measured: an optimized crystal structure of HfBiBr2 at the GGA-PBE level of DFT.

Results
Space-group type: No. 122
Fermi-level density of states, states/eV/cell: 14.20
Energy relative to the elements, uncorrected, meV per atom: -305
Polymorph energy (0 for the lowest one), eV/atom: 0.299
Calculated volume, Å³/f.u.: 129.6

Cell: 9.482 9.482 7.298 Å, 49.49 49.49 90.00°
Fractional coordinates of all 8 atoms:
Bi (0.000, 0.000, 0.000)
Br (0.875, 0.745, 0.750)
Br (0.255, 0.625, 0.250)
Bi (0.750, 0.250, 0.500)
Br (0.375, 0.505, 0.750)
Br (0.495, 0.125, 0.250)
Hf (0.500, 0.500, 0.000)
Hf (0.250, 0.750, 0.500)



Computed, not measured: an optimized crystal structure of HfBi3Br at the GGA-PBE level of DFT.

Results
Space-group type: No. 221
Fermi-level density of states, states/eV/cell: 1.60
Energy relative to the elements, uncorrected, meV per atom: 129
Polymorph energy (0 for the lowest one), eV/atom: 0.000
Calculated volume, Å³/f.u.: 177.9

Cell: 5.624 5.624 5.624 Å, 90.00 90.00 90.00°
Fractional coordinates of all 5 atoms:
Hf (0.000, 0.000, 0.000)
Bi (0.500, 0.000, 0.000)
Bi (0.000, 0.500, 0.000)
Br (0.500, 0.500, 0.500)
Bi (0.000, 0.000, 0.500)